## NbTl2Ir (PBE)

Data for a relaxed NbTl2Ir crystal.

Structure (POSCAR):
```
NbTl2Ir
1.0
-0.413 -1.862 7.549
6.956 -3.468 -0.475
4.545 -0.203 4.214
Tl Ir Nb
4 2 2
Direct
0.646 0.125 0.250
0.104 0.625 0.250
0.375 0.354 0.750
0.875 0.896 0.750
0.000 0.000 0.000
0.750 0.250 0.500
0.500 0.500 0.000
0.250 0.750 0.500
```

Values from the calculation:
Offset from the most stable computed form, meV/atom: 144
Total DFT energy (no corrections), eV per cell: -41.41
E_form, eV per atom: 0.74
Symmetry: I-42d (122)

***

## Nb2TlIr (PBE)

Data for a relaxed Nb2TlIr crystal.

Structure (POSCAR):
```
Nb2TlIr
1.0
4.457 -0.806 1.264
1.321 0.601 4.473
1.051 -3.731 2.663
Tl Ir Nb
1 1 2
Direct
0.500 0.500 0.500
0.000 0.000 0.000
0.250 0.250 0.250
0.750 0.750 0.750
```

Values from the calculation:
Offset from the most stable computed form, meV/atom: 0
Total DFT energy (no corrections), eV per cell: -30.08
E_form, eV per atom: 0.32
Symmetry: Fm-3m (225)

***

## NbTl2Ir (PBE)

Data for a relaxed NbTl2Ir crystal.

Structure (POSCAR):
```
NbTl2Ir
1.0
0.000 3.400 3.400
3.400 0.000 3.400
3.400 3.400 0.000
Tl Ir Nb
2 1 1
Direct
0.250 0.250 0.250
0.750 0.750 0.750
0.500 0.500 0.500
0.000 0.000 0.000
```

Values from the calculation:
Offset from the most stable computed form, meV/atom: 0
Total DFT energy (no corrections), eV per cell: -21.28
E_form, eV per atom: 0.60
Symmetry: Fm-3m (225)